! Pm12Sb3N5 (GGA-PBE, optimized geometry); values from VASP
&SYSTEM
  ibrav = 0, nat = 80, ntyp = 3
/
ATOMIC_SPECIES
N 14.01 N.upf
Pm 145.00 Pm.upf
Sb 121.76 Sb.upf
ATOMIC_POSITIONS angstrom
N 5.799 3.281 8.523
Pm 8.023 -4.690 10.116
Sb 1.160 -0.820 4.262
Pm -4.503 5.200 11.226
Pm 10.535 3.135 3.437
N -4.640 3.281 5.682
Pm -2.876 7.697 9.120
Sb -5.799 6.561 8.523
Pm 5.195 5.425 9.120
Pm -5.477 -0.065 9.258
Pm 3.576 5.297 4.686
Pm 1.764 4.657 7.788
Pm 1.483 -1.791 10.255
Sb 10.439 0.000 2.841
Sb 8.119 4.101 1.421
Pm 8.723 0.769 5.544
Sb 5.799 0.820 4.262
Pm 2.456 -2.480 6.792
Pm -0.556 1.136 2.245
Pm 7.096 3.841 4.434
N 4.640 -3.281 5.682
N 5.799 5.741 4.262
Sb 3.480 0.000 8.523
Sb -3.480 -2.460 9.944
Pm 5.896 -1.264 6.679
Pm -4.776 9.281 4.434
Pm -2.456 2.720 6.931
N -2.320 -3.281 5.682
N 4.640 6.561 0.000
Sb 8.119 9.022 1.421
Pm 3.157 8.353 1.110
Pm 6.122 6.496 2.106
Pm 7.096 11.761 0.139
N 1.160 4.101 9.944
Pm -1.063 4.690 10.116
Sb 3.480 7.381 7.103
Pm -5.896 3.426 7.927
N 1.160 -3.281 8.523
Pm -0.837 4.770 1.110
Pm 0.556 8.466 7.788
N 6.959 0.000 0.000
Pm 10.116 6.627 2.106
N -1.160 10.662 1.421
Pm 6.403 7.330 5.821
N 5.799 -4.101 9.944
N 8.119 -0.820 7.103
Pm -3.383 11.251 1.248
Pm 4.084 -1.905 3.576
N 3.480 2.460 1.421
Pm -1.764 -0.769 5.544
Pm -1.483 0.065 9.258
Pm 1.063 1.264 6.679
Sb 1.160 6.561 2.841
N 2.320 3.281 5.682
Pm 7.515 -1.136 2.245
N -2.320 6.561 0.000
Pm 2.183 9.041 4.573
Pm -1.063 -3.426 7.927
Pm 5.703 1.871 1.248
Pm 1.483 1.857 10.368
Pm 3.157 4.705 0.996
Pm 5.703 9.987 3.437
Pm 5.477 1.791 10.255
Pm 0.137 4.081 4.573
N 0.000 0.000 0.000
Pm 5.477 -1.857 10.368
Pm 4.503 2.480 6.792
Pm 9.142 1.361 0.139
Sb -3.480 2.460 9.944
N -1.160 0.820 7.103
Pm -4.084 5.793 5.821
N 3.480 9.842 2.841
Pm 2.876 1.905 3.576
Sb -1.160 5.741 7.103
N -3.480 7.381 4.262
Pm 9.416 -2.720 6.931
Pm -2.456 -5.200 11.226
Pm -1.256 7.825 4.686
Pm -0.837 8.418 0.996
N -1.160 3.281 2.841
CELL_PARAMETERS angstrom
13.919 0.000 0.000
-4.640 13.123 0.000
-4.640 -6.561 11.364
! **Total energy**: -521.20 eV per cell
! **V**: 25.9 Å³/atom
! **Energy relative to the elements, uncorrected**: -965 meV/atom
! **SG**: Ia-3d